Entry 1:
A plane-wave DFT calculation with SCAN was carried out for a crystal of KRbS3 relaxed with PBEsol.

abc: 5.889 5.889 5.889
angles: 90.00 90.00 90.00
Space group Pm-3m (No. 221)
Inequivalent atoms, fractional coordinates:
K1 0.000 0.000 0.000
Rb1 0.500 0.500 0.500
S1 0.000 0.500 0.500

***

Entry 2:
A plane-wave DFT calculation with SCAN was carried out for a crystal of KRb2Sb2 relaxed with PBEsol.

abc: 9.015 9.015 5.313
angles: 90.00 90.00 90.00
Space group P4/mbm (No. 127)
Inequivalent atoms, fractional coordinates:
K1 0.000 0.000 0.000
Rb1 0.174 0.326 0.500
Sb1 0.110 0.610 0.000

***

Entry 3:
A plane-wave DFT calculation with SCAN was carried out for a crystal of KRbSe3 relaxed with PBEsol.

abc: 6.113 6.113 6.113
angles: 90.00 90.00 90.00
Space group Pm-3m (No. 221)
Inequivalent atoms, fractional coordinates:
K1 0.000 0.000 0.000
Rb1 0.500 0.500 0.500
Se1 0.000 0.500 0.500

***

Entry 4:
A plane-wave DFT calculation with SCAN was carried out for a crystal of K3Rb3Zn4Sn3Se13 relaxed with PBEsol.

abc: 14.4720 14.4720 15.0823
angles: 90.00 90.00 120.00
Space group R3m (No. 160, hexagonal axes)
Inequivalent atoms, fractional coordinates:
K1 0.0425 0.5213 0.0000
Rb1 0.1805 0.3609 0.6319
Zn1 0.0000 0.0000 0.3138
Zn2 0.0942 0.1884 0.1015
Sn1 0.1821 0.3641 0.9060
Se1 0.0000 0.0000 0.1537
Se2 0.0090 0.2910 0.1518
Se3 0.0835 0.1670 0.9416
Se4 0.1823 0.0912 0.3760

***

Entry 5:
A plane-wave DFT calculation with SCAN was carried out for a crystal of KRbSi2 relaxed with PBEsol.

abc: 9.510 9.510 5.439
angles: 90.00 90.00 90.00
Space group I-42d (No. 122)
Inequivalent atoms, fractional coordinates:
K1 0.000 0.000 0.000
Rb1 0.000 0.000 0.500
Si1 0.247 0.750 0.125

***

Entry 6:
A plane-wave DFT calculation with SCAN was carried out for a crystal of K3RbSn relaxed with PBEsol.

abc: 6.672 6.672 6.672
angles: 90.00 90.00 90.00
Space group Pm-3m (No. 221)
Inequivalent atoms, fractional coordinates:
K1 0.000 0.000 0.500
Rb1 0.000 0.000 0.000
Sn1 0.500 0.500 0.500

Calculated values
Energy relative to the elements in eV/atom: 0.601

***

Entry 7:
A plane-wave DFT calculation with SCAN was carried out for a crystal of KRbSr3 relaxed with PBEsol.

abc: 7.329 7.329 7.329
angles: 90.00 90.00 90.00
Space group Pm-3m (No. 221)
Inequivalent atoms, fractional coordinates:
K1 0.000 0.000 0.000
Rb1 0.500 0.500 0.500
Sr1 0.000 0.500 0.500

Calculated values
Energy relative to the elements in eV/atom: 0.630

***

Entry 8:
A plane-wave DFT calculation with SCAN was carried out for a crystal of K3RbTa relaxed with PBEsol.

abc: 6.813 6.813 6.813
angles: 90.00 90.00 90.00
Space group Pm-3m (No. 221)
Inequivalent atoms, fractional coordinates:
K1 0.000 0.000 0.500
Rb1 0.500 0.500 0.500
Ta1 0.000 0.000 0.000

Calculated values
Energy relative to the elements in eV/atom: 1.182

***

| no. | E (eV for the cell shown) | N(E_F) (states/eV/atom) |
| --- | --- | --- |
| 1 | -56.267 | 1.121 |
| 2 | -252.862 | 1.011 |
| 3 | -88.522 | 1.032 |
| 4 | -1601.453 | 0.000 |
| 5 | -184.406 | 0.569 |
| 6 | -78.641 | 1.169 |
| 7 | -92.743 | 1.454 |
| 8 | -106.401 | 0.555 |